(1)
The following is a DFT calculation (PBE) of a geometry-optimized RbNa2CrSn structure.

total energy	-2.305	eV per atom

Cell: 5.707 5.771 5.707 Å, 90.00 90.00 90.00°
Site moments in Bohr magnetons follow the coordinates.
Fractional coordinates of all 5 atoms:
Cr1 0.000 0.500 0.000  4.27
Na1 0.500 0.000 0.000  0.00
Rb1 0.000 0.000 0.000  0.07
Sn1 0.500 0.500 0.500  -0.14
Na2 0.000 0.000 0.500  0.00

---

(2)
The following is a DFT calculation (PBE) of a geometry-optimized ZrCoSe2 structure.

relative energy among the computed polymorphs	773	meV/atom
energy relative to the elements, uncorrected	0.026	eV/atom

Cell: 4.654 4.654 4.654 Å, 60.00 60.00 60.00°
Site moments in Bohr magnetons follow the coordinates.
Fractional coordinates of all 4 atoms:
Zr1 0.750 0.750 0.750  -0.18
Se1 0.000 0.000 0.000  0.10
Se2 0.250 0.250 0.250  0.07
Co1 0.500 0.500 0.500  1.12

---

(3)
The following is a DFT calculation (PBE) of a geometry-optimized SrMgCdH6 structure.

total energy	-2.844	eV per atom

Cell: 5.221 5.221 10.287 Å, 90.00 90.00 120.00°
Fractional coordinates of all 18 atoms:
Cd1 0.667 0.333 0.750
Mg1 0.333 0.667 0.750
H1 0.010 0.634 0.859
H2 0.990 0.366 0.141
Cd2 0.333 0.667 0.250
Sr1 0.000 0.000 0.000
H3 0.366 0.376 0.859
H4 0.010 0.376 0.641
H5 0.634 0.010 0.359
H6 0.366 0.990 0.641
Mg2 0.667 0.333 0.250
H7 0.376 0.366 0.359
H8 0.990 0.624 0.359
H9 0.376 0.010 0.141
H10 0.624 0.990 0.859
H11 0.634 0.624 0.141
Sr2 0.000 0.000 0.500
H12 0.624 0.634 0.641

---

(4)
The following is a DFT calculation (PBE) of a geometry-optimized TbNd2I2N2 structure.

energy relative to the elements, uncorrected	-1.203	eV/atom

Cell: 4.521 4.521 10.264 Å, 102.72 102.72 90.00°
Site moments in Bohr magnetons follow the coordinates.
Fractional coordinates of all 7 atoms:
N1 0.000 0.500 0.000  -0.02
I1 0.837 0.837 0.673  0.00
N2 0.500 0.000 0.000  -0.02
Nd1 0.576 0.576 0.152  0.33
I2 0.163 0.163 0.327  0.00
Tb1 0.000 0.000 0.000  0.01
Nd2 0.424 0.424 0.848  0.33

---

(5)
The following is a DFT calculation (PBE) of a geometry-optimized Li4Pu3RhO12 structure.

energy relative to the elements, uncorrected	-1.955	eV/atom

Cell: 6.980 6.980 6.980 Å, 107.00 107.00 107.00°
Site moments in Bohr magnetons follow the coordinates.
Fractional coordinates of all 20 atoms:
O1 0.754 0.044 0.654  -0.11
O2 0.044 0.654 0.754  -0.11
O3 0.346 0.956 0.246  -0.11
Rh1 0.000 0.000 0.000  1.66
O4 0.500 0.109 0.891  -0.11
O5 0.336 0.664 0.500  -0.11
Li1 0.500 0.939 0.061  0.00
O6 0.956 0.246 0.346  -0.11
Pu1 0.557 0.443 0.000  2.29
Li2 0.500 0.500 0.500  0.00
O7 0.500 0.336 0.664  -0.11
O8 0.664 0.500 0.336  -0.11
Pu2 0.000 0.557 0.443  2.29
Pu3 0.443 0.000 0.557  2.29
O9 0.109 0.891 0.500  -0.11
Li3 0.061 0.500 0.939  0.00
O10 0.891 0.500 0.109  -0.11
O11 0.654 0.754 0.044  -0.11
O12 0.246 0.346 0.956  -0.11
Li4 0.939 0.061 0.500  0.00